VASP calculation (PBE-GGA) on a relaxed structure of Cr3ReIr.

Values from the calculation:
SG = Pm-3m
Uncorrected energy = -8.270 eV per atom
ΔH_f (0 K) = 1.766 eV per atom

Cell: 4.6053 4.6053 4.6053 Å, 90.00 90.00 90.00°
Site moments in Bohr magnetons follow the coordinates.
Fractional coordinates of all 5 atoms:
Re: 0.5000 0.5000 0.5000  2.48
Ir: 0.0000 0.0000 0.0000  0.26
Cr: 0.0000 0.5000 0.0000  -3.05
Cr: 0.0000 0.0000 0.5000  -2.60
Cr: 0.5000 0.0000 0.0000  -3.20